Record 1
## LaNdHo3Th (PBE)

Data for crystalline LaNdHo3Th at its relaxed geometry.

a b c (Å): 3.598 10.816 10.751
angles (deg): 108.99 90.00 90.00
Fractional positions:
La 0.250 0.128 0.289
La 0.750 0.872 0.711
Nd 0.250 0.134 0.631
Nd 0.750 0.866 0.369
Ho 0.750 0.868 0.039
Ho 0.250 0.132 0.961
Ho 0.250 0.621 0.456
Ho 0.750 0.379 0.544
Ho 0.750 0.383 0.205
Ho 0.250 0.617 0.795
Th 0.250 0.622 0.121
Th 0.750 0.378 0.879

- Final energy: -61.3 eV for the cell shown
- Formation enthalpy at 0 K: 0.03 eV/atom

---

Record 2
## La3NdHo6Th2 (PBE)

Data for crystalline La3NdHo6Th2 at its relaxed geometry.

a b c (Å): 6.258 6.258 11.793
angles (deg): 95.09 95.09 119.99
Fractional positions:
La 0.166 0.834 0.500
La 0.834 0.166 0.500
La 0.500 0.500 0.500
Nd 0.000 0.000 0.000
Ho 0.919 0.581 0.756
Ho 0.743 0.743 0.244
Ho 0.081 0.419 0.244
Ho 0.581 0.919 0.756
Ho 0.257 0.257 0.756
Ho 0.419 0.081 0.244
Th 0.333 0.667 0.000
Th 0.667 0.333 0.000

- Final energy: -61.6 eV for the cell shown
- Formation enthalpy at 0 K: 0.02 eV/atom

---

Record 3
## La2NdHo4Th (PBE)

Data for crystalline La2NdHo4Th at its relaxed geometry.

a b c (Å): 3.618 6.299 13.158
angles (deg): 61.27 90.00 90.00
Fractional positions:
La 0.000 0.000 0.000
La 0.500 0.000 0.500
Nd 0.500 0.500 0.000
Ho 0.000 0.925 0.748
Ho 0.000 0.075 0.252
Ho 0.500 0.580 0.256
Ho 0.500 0.420 0.744
Th 0.000 0.500 0.500

- Final energy: -40.3 eV for the cell shown
- Formation enthalpy at 0 K: 0.01 eV/atom

---

Record 4
## La2NdHoTh (PBE)

Data for crystalline La2NdHoTh at its relaxed geometry.

a b c (Å): 6.382 9.198 6.584
angles (deg): 110.08 90.00 90.00
Fractional positions:
La 0.692 0.685 0.841
La 0.692 0.315 0.659
La 0.308 0.685 0.341
La 0.308 0.315 0.159
Nd 0.164 0.500 0.750
Nd 0.836 0.500 0.250
Ho 0.503 0.000 0.250
Ho 0.497 0.000 0.750
Th 0.000 0.000 0.000
Th 0.000 0.000 0.500

- Final energy: -50.2 eV for the cell shown
- Formation enthalpy at 0 K: 0.31 eV/atom

---

Record 5
## LaNd2Ho5Th (PBE)

Data for crystalline LaNd2Ho5Th at its relaxed geometry.

a b c (Å): 5.648 10.368 10.637
angles (deg): 90.00 90.00 105.81
Fractional positions:
La 0.584 0.167 0.952
La 0.416 0.833 0.452
Nd 0.886 0.772 0.819
Nd 0.115 0.231 0.730
Nd 0.114 0.228 0.319
Nd 0.885 0.769 0.230
Ho 0.387 0.775 0.023
Ho 0.722 0.443 0.815
Ho 0.480 0.960 0.736
Ho 0.297 0.594 0.710
Ho 0.984 0.967 0.527
Ho 0.613 0.225 0.523
Ho 0.278 0.557 0.315
Ho 0.520 0.040 0.236
Ho 0.703 0.406 0.210
Ho 0.016 0.033 0.027
Th 0.796 0.592 0.512
Th 0.204 0.408 0.012

- Final energy: -86.6 eV for the cell shown
- Formation enthalpy at 0 K: 0.17 eV/atom

---

Record 6
## La5NdHo2Th (PBE)

Data for crystalline La5NdHo2Th at its relaxed geometry.

a b c (Å): 5.527 11.297 10.682
angles (deg): 90.00 90.00 104.16
Fractional positions:
La 0.373 0.746 0.008
La 0.724 0.447 0.816
La 0.500 0.000 0.758
La 0.277 0.553 0.700
La 0.004 0.007 0.508
La 0.627 0.254 0.508
La 0.276 0.553 0.316
La 0.500 0.000 0.258
La 0.723 0.447 0.200
La 0.996 0.993 0.008
Nd 0.601 0.202 0.008
Nd 0.399 0.798 0.508
Ho 0.887 0.775 0.749
Ho 0.113 0.226 0.767
Ho 0.113 0.225 0.249
Ho 0.887 0.774 0.267
Th 0.785 0.570 0.508
Th 0.215 0.430 0.008

- Final energy: -89.6 eV for the cell shown
- Formation enthalpy at 0 K: 0.13 eV/atom

---

Record 7
## LaNd3HoTh (PBE)

Data for crystalline LaNd3HoTh at its relaxed geometry.

a b c (Å): 5.154 8.183 10.945
angles (deg): 116.55 90.00 90.00
Fractional positions:
La 0.250 0.120 0.293
La 0.750 0.880 0.707
Nd 0.750 0.863 0.045
Nd 0.250 0.137 0.955
Nd 0.250 0.629 0.455
Nd 0.750 0.371 0.545
Nd 0.750 0.385 0.204
Nd 0.250 0.615 0.796
Ho 0.250 0.129 0.629
Ho 0.750 0.871 0.371
Th 0.250 0.622 0.122
Th 0.750 0.378 0.878

- Final energy: -62.0 eV for the cell shown
- Formation enthalpy at 0 K: 0.04 eV/atom

---

Record 8
## LaNd2HoTh (PBE)

Data for crystalline LaNd2HoTh at its relaxed geometry.

a b c (Å): 6.471 8.719 6.451
angles (deg): 98.51 90.00 90.00
Fractional positions:
La 0.000 0.000 0.000
La 0.000 0.000 0.500
Nd 0.687 0.685 0.799
Nd 0.687 0.315 0.701
Nd 0.313 0.685 0.299
Nd 0.313 0.315 0.201
Ho 0.171 0.500 0.750
Ho 0.829 0.500 0.250
Th 0.546 0.000 0.250
Th 0.454 0.000 0.750

- Final energy: -49.9 eV for the cell shown
- Formation enthalpy at 0 K: 0.30 eV/atom

---

Record 9
## LaNdHo5Th2 (PBE)

Data for crystalline LaNdHo5Th2 at its relaxed geometry.

a b c (Å): 8.916 8.916 9.905
angles (deg): 116.75 116.75 90.00
Fractional positions:
La 0.250 0.250 0.500
La 0.750 0.750 0.500
Nd 0.250 0.750 0.500
Nd 0.750 0.250 0.500
Ho 0.930 0.430 0.270
Ho 0.659 0.159 0.730
Ho 0.070 0.570 0.730
Ho 0.159 0.070 0.730
Ho 0.570 0.659 0.730
Ho 0.841 0.930 0.270
Ho 0.430 0.341 0.270
Ho 0.341 0.841 0.270
Ho 0.500 0.500 0.000
Ho 0.000 0.000 0.000
Th 0.119 0.381 0.000
Th 0.619 0.119 0.000
Th 0.381 0.881 0.000
Th 0.881 0.619 0.000

- Final energy: -89.2 eV for the cell shown
- Formation enthalpy at 0 K: 0.31 eV/atom

---

Record 10
## La2Nd5HoTh (PBE)

Data for crystalline La2Nd5HoTh at its relaxed geometry.

a b c (Å): 5.753 10.763 10.719
angles (deg): 90.00 90.00 105.50
Fractional positions:
La 0.884 0.768 0.813
La 0.115 0.230 0.734
La 0.116 0.232 0.313
La 0.885 0.770 0.234
Nd 0.384 0.767 0.023
Nd 0.725 0.450 0.814
Nd 0.484 0.968 0.744
Nd 0.293 0.585 0.704
Nd 0.985 0.969 0.518
Nd 0.616 0.233 0.523
Nd 0.275 0.550 0.314
Nd 0.516 0.032 0.244
Nd 0.707 0.415 0.204
Nd 0.015 0.031 0.018
Ho 0.596 0.192 0.963
Ho 0.404 0.808 0.463
Th 0.801 0.602 0.511
Th 0.199 0.398 0.011

- Final energy: -88.9 eV for the cell shown
- Formation enthalpy at 0 K: 0.14 eV/atom

---

Record 11
## LaNdHoTh2 (PBE)

Data for crystalline LaNdHoTh2 at its relaxed geometry.

a b c (Å): 6.759 6.745 8.590
angles (deg): 113.12 90.00 90.00
Fractional positions:
La 0.750 0.741 0.482
La 0.250 0.259 0.518
Nd 0.250 0.849 0.698
Nd 0.750 0.151 0.302
Ho 0.250 0.650 0.301
Ho 0.750 0.350 0.699
Th 0.500 0.253 0.000
Th 0.000 0.747 0.000
Th 0.500 0.747 0.000
Th 0.000 0.253 0.000

- Final energy: -54.7 eV for the cell shown
- Formation enthalpy at 0 K: 0.35 eV/atom

---

Record 12
## LaNd6Ho2Th (PBE)

Data for crystalline LaNd6Ho2Th at its relaxed geometry.

a b c (Å): 9.646 8.978 8.978
angles (deg): 116.06 93.04 93.04
Fractional positions:
La 0.250 0.965 0.035
La 0.750 0.035 0.965
Nd 0.061 0.115 0.760
Nd 0.439 0.240 0.885
Nd 0.939 0.885 0.240
Nd 0.561 0.760 0.115
Nd 0.313 0.992 0.437
Nd 0.187 0.563 0.008
Nd 0.687 0.008 0.563
Nd 0.813 0.437 0.992
Nd 0.115 0.704 0.483
Nd 0.385 0.517 0.296
Nd 0.885 0.296 0.517
Nd 0.615 0.483 0.704
Ho 0.448 0.799 0.700
Ho 0.052 0.300 0.201
Ho 0.552 0.201 0.300
Ho 0.948 0.700 0.799
Th 0.250 0.410 0.590
Th 0.750 0.590 0.410

- Final energy: -97.4 eV for the cell shown
- Formation enthalpy at 0 K: 0.14 eV/atom